(1)
First-principles (PBE) data for crystalline BaTaCl2 at its relaxed geometry, as listed in Alexandria.

Summary:
The calculation puts the formation energy (no corrections) at -0.4 eV per formula unit. The excess energy over the best structure of this formula in the dataset comes out at 406 meV/atom. As for the space-group type: Cmmm.

a b c (Å): 5.307 5.307 3.462
angles (deg): 90.00 90.00 95.53
Positions (direct):
1 Ta 0.500 0.000 0.500
2 Cl 0.000 0.000 0.000
3 Cl 0.500 0.500 0.000
4 Ba 0.000 0.500 0.500

=====

(2)
First-principles (PBE) data for crystalline Ba2TaCl at its relaxed geometry, as listed in Alexandria.

Summary:
The calculation puts the formation energy (no corrections) at 0.3 eV per formula unit. The excess energy over the best structure of this formula in the dataset comes out at 114 meV/atom. As for the space-group type: Amm2.

a b c (Å): 6.558 6.558 5.664
angles (deg): 89.96 89.96 30.98
Positions (direct):
1 Ba 0.993 0.993 0.875
2 Cl 0.508 0.508 0.375
3 Ta 0.742 0.742 0.875
4 Ba 0.257 0.257 0.375

=====

(3)
First-principles (PBE) data for crystalline Ba2TaCl at its relaxed geometry, as listed in Alexandria.

Summary:
The calculation puts the formation energy (no corrections) at 1.3 eV per formula unit. The excess energy over the best structure of this formula in the dataset comes out at 371 meV/atom. As for the space-group type: I-42d.

a b c (Å): 8.662 8.662 7.569
angles (deg): 55.09 55.09 90.00
Positions (direct):
1 Ba 0.875 0.844 0.750
2 Ta 0.750 0.250 0.500
3 Ba 0.375 0.406 0.750
4 Cl 0.250 0.750 0.500
5 Cl 0.500 0.500 0.000
6 Ta 0.000 0.000 0.000
7 Ba 0.156 0.625 0.250
8 Ba 0.594 0.125 0.250

=====

(4)
First-principles (PBE) data for crystalline BaTa2Cl at its relaxed geometry, as listed in Alexandria.

Summary:
The calculation puts the formation energy (no corrections) at 3.6 eV per formula unit. The excess energy over the best structure of this formula in the dataset comes out at 968 meV/atom. As for the space-group type: Pmmm.

a b c (Å): 3.169 6.555 5.543
angles (deg): 90.00 90.00 90.00
Positions (direct):
1 Ta 0.000 0.000 0.026
2 Ba 0.500 0.500 0.250
3 Ta 0.000 0.000 0.474
4 Cl 0.500 0.500 0.750

=====

(5)
First-principles (PBE) data for crystalline BaTaCl4 at its relaxed geometry, as listed in Alexandria.

Summary:
The calculation puts the formation energy (no corrections) at 1.1 eV per formula unit. As for the space-group type: F-43m.

a b c (Å): 6.108 6.108 6.108
angles (deg): 60.00 60.00 60.00
Positions (direct):
1 Cl 0.375 0.874 0.375
2 Cl 0.874 0.375 0.375
3 Cl 0.375 0.375 0.375
4 Ba 0.000 0.000 0.000
5 Ta 0.750 0.750 0.750
6 Cl 0.375 0.375 0.874

=====

(6)
First-principles (PBE) data for crystalline Ba2TbCl6 at its relaxed geometry, as listed in Alexandria.

Summary:
The calculation puts the formation energy (no corrections) at -20.1 eV per formula unit. As for the space-group type: P4_2/mnm.

a b c (Å): 7.185 7.185 12.695
angles (deg): 90.00 90.00 90.00
Positions (direct):
1 Cl 0.230 0.770 0.500
2 Cl 0.298 0.298 0.357
3 Ba 0.000 0.000 0.676
4 Ba 0.500 0.500 0.176
5 Cl 0.798 0.202 0.857
6 Cl 0.730 0.730 0.000
7 Tb 0.000 0.000 0.000
8 Ba 0.500 0.500 0.824
9 Cl 0.270 0.270 0.000
10 Cl 0.702 0.702 0.357
11 Cl 0.298 0.298 0.643
12 Ba 0.000 0.000 0.324
13 Tb 0.500 0.500 0.500
14 Cl 0.202 0.798 0.857
15 Cl 0.702 0.702 0.643
16 Cl 0.798 0.202 0.143
17 Cl 0.770 0.230 0.500
18 Cl 0.202 0.798 0.143

=====

Question: Look up the formation energy (no corrections) of the first one.
Answer: -0.4 eV per formula unit